Here is Be2InCl after structural relaxation from Alexandria via LeMat-Bulk. Energies are from PBE.

a b c (Å): 2.953 3.130 7.090
angles (deg): 90.00 90.00 90.00
Element x y z (fractional)
In: 0.500 0.500 0.750
Be: 0.000 0.000 0.499
Be: 0.000 0.000 0.001
Cl: 0.500 0.500 0.250

Calculated values
Total DFT energy (no corrections) (eV per atom): -2.42
ΔE_f (raw) (eV per formula unit): 2.36
Crystal system: orthorhombic
ΔE to the lowest computed polymorph (meV per atom): 397
Space-group type: No. 47